[1]
A plane-wave DFT calculation with PBE was carried out for a geometry-optimized Pa2FeNi3Ge4 structure.

abc: 4.120 4.120 9.454
angles: 90.00 90.00 90.00
Each line ends with the local moment (μB).
Element x y z (fractional)
Pa1 0.500 0.000 0.260  -0.19
Pa2 0.000 0.500 0.740  -0.19
Fe1 0.500 0.500 0.500  1.23
Ni1 0.000 0.000 0.500  0.21
Ni2 0.500 0.000 0.875  -0.01
Ni3 0.000 0.500 0.125  -0.01
Ge1 0.500 0.500 0.000  0.00
Ge2 0.000 0.000 0.000  0.00
Ge3 0.500 0.000 0.630  -0.01
Ge4 0.000 0.500 0.370  -0.01

E_form: -561 meV per atom
SG: No. 115
Theoretical density: 10.2 g/cm3
Spin magnetization: 0.93 μB/f.u.
DOS(E_F): 6.2 states/eV/cell

[2]
A plane-wave DFT calculation with PBE was carried out for a geometry-optimized PaFeNiGe structure.

abc: 4.488 4.488 4.488
angles: 60.00 60.00 60.00
Each line ends with the local moment (μB).
Element x y z (fractional)
Ni1 0.750 0.750 0.750  0.28
Ge1 0.500 0.500 0.500  0.03
Pa1 0.000 0.000 0.000  -0.12
Fe1 0.250 0.250 0.250  1.59

E_form: -211 meV per atom
SG: No. 216
Theoretical density: 10.9 g/cm3
Spin magnetization: 1.82 μB/f.u.
DOS(E_F): 4.6 states/eV/cell